# 1
## Rb2SrBr4 (GGA-PBE)

Data for Rb2SrBr4 after structural relaxation.

distance to the lowest polymorph of the same formula = 0.18 eV/f.u.
N(E_F) = 0.000 states/eV per cell
VASP energy = -23.6 eV/cell

```
Rb2SrBr4
1.0
7.549 -2.276 0.000
7.549 2.276 0.000
-4.620 0.000 8.226
Rb Sr Br
2 1 4
Direct
0.146 0.146 0.181
0.854 0.854 0.819
0.500 0.500 0.500
0.156 0.156 0.572
0.449 0.449 0.148
0.551 0.551 0.852
0.844 0.844 0.428
```

=====

# 2
## MgSiBr2 (GGA-PBE)

Data for MgSiBr2 after structural relaxation.

distance to the lowest polymorph of the same formula = 1.89 eV/f.u.
N(E_F) = 3.377 states/eV per cell
VASP energy = -9.9 eV/cell

```
MgSiBr2
1.0
4.846 0.000 0.000
0.000 4.846 0.000
0.000 0.000 4.015
Mg Si Br
1 1 2
Direct
0.000 0.000 0.000
0.500 0.500 0.000
0.000 0.500 0.500
0.500 0.000 0.500
```

=====

# 3
## KCo3Cu (GGA-PBE)

Data for KCo3Cu after structural relaxation.

distance to the lowest polymorph of the same formula = 0.00 eV/f.u.
N(E_F) = 11.560 states/eV per cell
VASP energy = -20.1 eV/cell

```
KCo3Cu
1.0
4.586 0.000 0.000
0.000 4.586 0.000
0.000 0.000 4.586
K Co Cu
1 3 1
Direct
0.000 0.000 0.000
0.000 0.500 0.500
0.500 0.000 0.500
0.500 0.500 0.000
0.500 0.500 0.500
```

=====

# 4
## CaEr2Ag2 (GGA-PBE)

Data for CaEr2Ag2 after structural relaxation.

N(E_F) = 3.237 states/eV per cell
VASP energy = -17.6 eV/cell

```
CaEr2Ag2
1.0
1.822 -10.265 0.000
1.822 10.265 0.000
0.000 0.000 3.592
Ca Er Ag
1 2 2
Direct
0.000 0.000 0.000
0.177 0.823 0.000
0.823 0.177 0.000
0.401 0.599 0.500
0.599 0.401 0.500
```

=====

# 5
## NaPrTl4 (GGA-PBE)

Data for NaPrTl4 after structural relaxation.

distance to the lowest polymorph of the same formula = 0.00 eV/f.u.
N(E_F) = 3.110 states/eV per cell
VASP energy = -16.6 eV/cell

```
NaPrTl4
1.0
3.734 0.000 0.000
0.000 5.162 0.000
-0.238 0.000 9.217
Na Pr Tl
1 1 4
Direct
0.000 0.000 0.000
0.010 0.500 0.529
0.348 0.000 0.338
0.428 0.500 0.860
0.580 0.000 0.673
0.664 0.500 0.187
```

=====

# 6
## K2CdSe (GGA-PBE)

Data for K2CdSe after structural relaxation.

distance to the lowest polymorph of the same formula = 0.76 eV/f.u.
VASP energy = -8.5 eV/cell

```
K2CdSe
1.0
2.573 1.486 6.922
-2.573 1.486 6.922
0.000 -2.971 6.922
K Cd Se
2 1 1
Direct
0.000 0.000 0.000
0.191 0.191 0.191
0.735 0.735 0.735
0.464 0.464 0.464
```